No. 1
A geometry-optimized Y6C2NO3 structure, computed with PBE-GGA.

Unit cell a=6.0686 b=6.0686 c=6.0504 alpha=99.63 beta=99.63 gamma=119.99
Closest atoms and distances in Å follow each position.
Fractional positions:
Y (0.9196, 0.5865, 0.7588)  1 N 2.45, 2 C 2.45, 3 O 2.50
Y (0.7471, 0.7471, 0.2405)  1 N 2.44, 2 C 2.45, 3 O 2.51
Y (0.0804, 0.4135, 0.2412)  1 N 2.45, 2 C 2.45, 3 O 2.50
Y (0.5865, 0.9196, 0.7588)  1 N 2.45, 2 C 2.45, 3 O 2.50
Y (0.2529, 0.2529, 0.7595)  1 N 2.44, 2 C 2.45, 3 O 2.51
Y (0.4135, 0.0804, 0.2412)  1 N 2.45, 2 C 2.45, 3 O 2.50
C (0.3332, 0.6668, 0.0000)  6 Y 2.45
C (0.6668, 0.3332, 0.0000)  6 Y 2.45
N (0.0000, 0.0000, 0.0000)  6 Y 2.44-2.45
O (0.1670, 0.8330, 0.5000)  6 Y 2.50-2.51
O (0.8330, 0.1670, 0.5000)  6 Y 2.50-2.51
O (0.5000, 0.5000, 0.5000)  6 Y 2.50-2.51

size of the total moment	0.000	μB/cell
D(E_F)	3.0	states/eV/f.u.

=====

No. 2
A geometry-optimized K2PuTlBr6 structure, computed with PBE-GGA.

Unit cell a=7.8786 b=8.5489 c=11.4583 alpha=90.00 beta=89.03 gamma=90.00
Closest atoms and distances in Å follow each position.
Fractional positions:
K (0.0344, 0.9153, 0.2531)  6 Br 3.34-3.57
K (0.5344, 0.5847, 0.7531)  6 Br 3.34-3.57
K (0.9656, 0.0847, 0.7469)  6 Br 3.34-3.57
K (0.4656, 0.4153, 0.2469)  6 Br 3.34-3.57
Pu (0.5000, 0.0000, 0.5000)  6 Br 2.88-2.89
Pu (0.0000, 0.5000, 0.0000)  6 Br 2.88-2.89
Tl (0.5000, 0.0000, 0.0000)  6 Br 3.29-3.34
Tl (0.0000, 0.5000, 0.5000)  6 Br 3.29-3.34
Br (0.2933, 0.6773, 0.0662)  1 Pu 2.88
Br (0.7933, 0.8227, 0.5662)  1 Pu 2.88
Br (0.7067, 0.3227, 0.9338)  1 Pu 2.88
Br (0.2067, 0.1773, 0.4338)  1 Pu 2.88
Br (0.3380, 0.7141, 0.4253)  1 Pu 2.89
Br (0.8380, 0.7859, 0.9253)  1 Pu 2.89
Br (0.6620, 0.2859, 0.5747)  1 Pu 2.89
Br (0.1620, 0.2141, 0.0747)  1 Pu 2.89
Br (0.8601, 0.5606, 0.2302)  1 Pu 2.89
Br (0.3601, 0.9394, 0.7302)  1 Pu 2.89
Br (0.1399, 0.4394, 0.7698)  1 Pu 2.89
Br (0.6399, 0.0606, 0.2698)  1 Pu 2.89

size of the total moment	10.000	μB/cell
D(E_F)	10.0	states/eV/f.u.

=====

No. 3
A geometry-optimized ScTiPb structure, computed with PBE-GGA.

Unit cell a=3.4825 b=3.4825 c=11.8229 alpha=98.47 beta=98.47 gamma=90.00
Closest atoms and distances in Å follow each position.
Fractional positions:
Ti (0.2792, 0.2792, 0.5584)  4 Ti 2.81, 5 Pb 2.98-3.03
Ti (0.7208, 0.7208, 0.4416)  4 Ti 2.81, 5 Pb 2.98-3.03
Pb (0.1483, 0.1483, 0.2965)  5 Ti 2.98-3.03, 4 Sc 3.09
Pb (0.8517, 0.8517, 0.7035)  5 Ti 2.98-3.03, 4 Sc 3.09
Sc (0.5677, 0.5677, 0.1355)  4 Pb 3.09, 1 Sc 3.13
Sc (0.4323, 0.4323, 0.8645)  4 Pb 3.09, 1 Sc 3.13

formation energy	17	meV per atom
size of the total moment	0.000	μB/cell
D(E_F)	3.3	states/eV/f.u.
excess energy over the best structure of this formula in the dataset	298	meV/atom

=====

No. 4
A geometry-optimized SrGe2Au6 structure, computed with PBE-GGA.

Unit cell a=6.0625 b=6.0625 c=6.7710 alpha=90.00 beta=90.00 gamma=120.00
Closest atoms and distances in Å follow each position.
Fractional positions:
Sr (0.0000, 0.0000, 0.0000)  12 Au 3.33-3.34
Ge (0.3333, 0.6667, 0.5000)  6 Au 2.65
Ge (0.6667, 0.3333, 0.5000)  6 Au 2.65
Au (0.4998, 0.0000, 0.2057)  2 Ge 2.65, 1 Au 2.79
Au (0.5002, 0.5002, 0.2057)  2 Ge 2.65, 1 Au 2.79
Au (0.0000, 0.4998, 0.2057)  2 Ge 2.65, 1 Au 2.79
Au (0.4998, 0.4998, 0.7943)  2 Ge 2.65, 1 Au 2.79
Au (0.0000, 0.5002, 0.7943)  2 Ge 2.65, 1 Au 2.79
Au (0.5002, 0.0000, 0.7943)  2 Ge 2.65, 1 Au 2.79

formation energy	-156	meV per atom
size of the total moment	0.000	μB/cell
D(E_F)	2.9	states/eV/f.u.
excess energy over the best structure of this formula in the dataset	87	meV/atom

=====

No. 5
A geometry-optimized ZrAl2P structure, computed with PBE-GGA.

Unit cell a=5.4200 b=5.4200 c=3.8701 alpha=69.17 beta=69.17 gamma=40.07
Closest atoms and distances in Å follow each position.
Fractional positions:
P (0.2500, 0.2500, 0.2500)  4 Zr 2.68, 4 Al 2.95
Al (0.9925, 0.9925, 0.0076)  4 Al 2.68-2.69, 2 P 2.95, 2 Zr 2.99-3.00
Al (0.5075, 0.5075, 0.4924)  4 Al 2.68-2.69, 2 P 2.95, 2 Zr 2.99-3.00
Zr (0.7500, 0.7500, 0.7500)  4 P 2.68, 4 Al 2.99-3.00

formation energy	-483	meV per atom
size of the total moment	0.000	μB/cell
D(E_F)	2.2	states/eV/f.u.

=====

No. 6
A geometry-optimized Ce2SmHoSe4 structure, computed with PBE-GGA.

Unit cell a=4.1344 b=7.2024 c=7.2310 alpha=109.17 beta=90.00 gamma=90.00
Closest atoms and distances in Å follow each position.
Fractional positions:
Ce (0.5000, 0.0000, 0.5000)  6 Se 2.95
Ce (0.0000, 0.5000, 0.5000)  6 Se 3.00
Sm (0.5000, 0.5000, 0.0000)  6 Se 2.93
Ho (0.0000, 0.0000, 0.0000)  6 Se 2.89
Se (0.5000, 0.2415, 0.2397)  2 Ho 2.89, 1 Sm 2.93, 3 Ce 2.95-3.00
Se (0.5000, 0.7585, 0.7603)  2 Ho 2.89, 1 Sm 2.93, 3 Ce 2.95-3.00
Se (0.0000, 0.2471, 0.7565)  1 Ho 2.89, 2 Sm 2.93, 3 Ce 2.95-3.00
Se (0.0000, 0.7529, 0.2435)  1 Ho 2.89, 2 Sm 2.93, 3 Ce 2.95-3.00

size of the total moment	0.112	μB/cell
D(E_F)	13.4	states/eV/f.u.

=====

Number 1: VASP energy -103.9 eV for the cell shown. Number 2: VASP energy -87.8 eV for the cell shown. Number 3: VASP energy -35.8 eV for the cell shown. Number 4: VASP energy -32.0 eV for the cell shown. Number 5: VASP energy -23.4 eV for the cell shown. Number 6: VASP energy -49.5 eV for the cell shown.